P) ZrBe3Bi after structural relaxation. Source: Alexandria, functional PBE.

Lattice parameters (Å, degrees): 4.729 4.729 4.729 90.00 90.00 90.00
Positions (direct):
Be: 0.000 0.500 0.000
Be: 0.000 0.000 0.500
Be: 0.500 0.000 0.000
Bi: 0.500 0.500 0.500
Zr: 0.000 0.000 0.000

Values from the calculation:
N(E_F) (states/eV per atom): 0.56

=====

Q) ZrBe3Bi after structural relaxation. Source: Alexandria, functional PBE.

Lattice parameters (Å, degrees): 4.642 4.642 4.642 90.00 90.00 90.00
Positions (direct):
Be: 0.000 0.500 0.000
Be: 0.000 0.000 0.500
Be: 0.500 0.000 0.000
Bi: 0.000 0.000 0.000
Zr: 0.500 0.500 0.500

Values from the calculation:
N(E_F) (states/eV per atom): 0.67

=====

The energy of each structure relative to the most stable one, in meV per atom, is as follows: P) 0; Q) 17.

=====

P) BeBr5 after structural relaxation. Source: Alexandria, functional PBE.

Lattice parameters (Å, degrees): 7.034 7.034 10.095 63.22 63.22 28.10
Positions (direct):
Be: 0.011 0.011 0.998
Br: 0.626 0.626 0.997
Br: 0.395 0.395 0.000
Br: 0.378 0.378 0.502
Br: 0.045 0.045 0.501
Br: 0.712 0.712 0.501

Values from the calculation:
N(E_F) (states/eV per atom): 0.32

=====

Q) BeBr5 after structural relaxation. Source: Alexandria, functional PBE.

Lattice parameters (Å, degrees): 5.144 5.144 7.915 90.00 90.00 120.00
Positions (direct):
Be: 0.000 0.000 0.500
Br: 0.679 0.000 0.000
Br: 0.321 0.321 0.000
Br: 0.000 0.679 0.000
Br: 0.667 0.333 0.500
Br: 0.333 0.667 0.500

Values from the calculation:
N(E_F) (states/eV per atom): 0.79

=====

R) BeBr5 after structural relaxation. Source: Alexandria, functional PBE.

Lattice parameters (Å, degrees): 3.079 3.079 19.386 90.00 90.00 90.00
Positions (direct):
Be: 0.500 0.500 0.000
Br: 0.000 0.000 0.920
Br: 0.000 0.000 0.080
Br: 0.500 0.500 0.720
Br: 0.500 0.500 0.280
Br: 0.000 0.000 0.500

Values from the calculation:
N(E_F) (states/eV per atom): 0.61

=====

The energy of each structure relative to the most stable one, in meV per atom, is as follows: P) 0; Q) 755; R) 419.

=====

P) BeBr2 after structural relaxation. Source: Alexandria, functional PBE.

Lattice parameters (Å, degrees): 8.786 8.786 5.726 90.00 90.00 157.91
Positions (direct):
Be: 0.809 0.191 0.750
Be: 0.191 0.809 0.250
Br: 0.209 0.791 0.750
Br: 0.397 0.603 0.750
Br: 0.603 0.397 0.250
Br: 0.791 0.209 0.250

Values from the calculation:
N(E_F) (states/eV per atom): 0.00

=====

Q) BeBr2 after structural relaxation. Source: Alexandria, functional PBE.

Lattice parameters (Å, degrees): 6.557 6.557 6.541 90.00 90.00 120.00
Positions (direct):
Be: 0.333 0.667 0.000
Be: 0.667 0.333 0.000
Be: 0.000 0.000 0.500
Br: 0.348 0.000 0.000
Br: 0.000 0.348 0.000
Br: 0.652 0.652 0.000
Br: 0.683 0.000 0.500
Br: 0.000 0.683 0.500
Br: 0.317 0.317 0.500

Values from the calculation:
N(E_F) (states/eV per atom): 0.00

=====

The energy of each structure relative to the most stable one, in meV per atom, is as follows: P) 25; Q) 0.

=====

P) BeBr2 after structural relaxation. Source: Alexandria, functional PBE.

Lattice parameters (Å, degrees): 7.037 7.037 12.123 90.00 90.00 120.00
Positions (direct):
Be: 0.333 0.667 0.834
Be: 0.667 0.333 0.334
Be: 0.667 0.333 0.166
Be: 0.333 0.667 0.666
Br: 0.000 0.000 0.000
Br: 0.000 0.000 0.500
Br: 0.824 0.647 0.250
Br: 0.176 0.353 0.750
Br: 0.353 0.176 0.250
Br: 0.824 0.176 0.250
Br: 0.176 0.824 0.750
Br: 0.647 0.824 0.750

=====

Q) BeBr2 after structural relaxation. Source: Alexandria, functional PBE.

Lattice parameters (Å, degrees): 6.629 6.629 5.009 99.79 99.79 28.80
Positions (direct):
Be: 0.500 0.500 0.500
Br: 0.111 0.111 0.696
Br: 0.889 0.889 0.304

Values from the calculation:
N(E_F) (states/eV per atom): 0.00

=====

R) BeBr2 after structural relaxation. Source: Alexandria, functional PBE.

Lattice parameters (Å, degrees): 6.500 4.074 8.268 61.91 42.38 87.13
Positions (direct):
Be: 0.398 0.830 0.556
Br: 0.407 0.300 0.315
Br: 0.389 0.360 0.797

Values from the calculation:
N(E_F) (states/eV per atom): 0.00

=====

The energy of each structure relative to the most stable one, in meV per atom, is as follows: P) 508; Q) 50; R) 0.

=====

P) BeBr2 after structural relaxation. Source: Alexandria, functional PBE.

Lattice parameters (Å, degrees): 7.494 7.494 8.924 90.00 90.00 154.58
Positions (direct):
Be: 0.613 0.387 0.750
Be: 0.387 0.613 0.250
Br: 0.004 0.996 0.750
Br: 0.221 0.779 0.750
Br: 0.779 0.221 0.250
Br: 0.996 0.004 0.250

Values from the calculation:
N(E_F) (states/eV per atom): 0.00

=====

Q) BeBr2 after structural relaxation. Source: Alexandria, functional PBE.

Lattice parameters (Å, degrees): 6.193 6.193 6.193 90.00 90.00 90.00
Positions (direct):
Be: 0.000 0.000 0.000
Be: 0.500 0.500 0.000
Be: 0.500 0.000 0.500
Be: 0.000 0.500 0.500
Br: 0.654 0.654 0.346
Br: 0.346 0.346 0.654
Br: 0.154 0.846 0.654
Br: 0.846 0.154 0.346
Br: 0.346 0.154 0.154
Br: 0.654 0.846 0.846
Br: 0.846 0.346 0.846
Br: 0.154 0.654 0.154

Values from the calculation:
N(E_F) (states/eV per atom): 0.00

=====

R) BeBr2 after structural relaxation. Source: Alexandria, functional PBE.

Lattice parameters (Å, degrees): 7.157 7.157 7.157 133.99 128.52 71.50
Positions (direct):
Be: 0.000 0.750 0.750
Be: 0.000 0.250 0.250
Br: 0.090 0.897 0.193
Br: 0.910 0.103 0.807
Br: 0.703 0.397 0.307
Br: 0.297 0.603 0.693

Values from the calculation:
N(E_F) (states/eV per atom): 0.00

=====

S) BeBr2 after structural relaxation. Source: Alexandria, functional PBE.

Lattice parameters (Å, degrees): 3.510 3.510 6.910 90.00 90.00 120.00
Positions (direct):
Be: 0.000 0.000 0.000
Br: 0.667 0.333 0.802
Br: 0.333 0.667 0.198

Values from the calculation:
N(E_F) (states/eV per atom): 0.00

=====

The energy of each structure relative to the most stable one, in meV per atom, is as follows: P) 349; Q) 622; R) 0; S) 286.

=====

P) Be2Br after structural relaxation. Source: Alexandria, functional PBE.

Lattice parameters (Å, degrees): 10.569 10.569 3.039 90.00 90.00 162.23
Positions (direct):
Be: 0.456 0.544 0.750
Be: 0.544 0.456 0.250
Be: 0.751 0.249 0.750
Be: 0.249 0.751 0.250
Br: 0.105 0.895 0.750
Br: 0.895 0.105 0.250

Values from the calculation:
N(E_F) (states/eV per atom): 0.36

=====

Q) Be2Br after structural relaxation. Source: Alexandria, functional PBE.

Lattice parameters (Å, degrees): 5.037 5.037 4.518 90.00 90.00 120.00
Positions (direct):
Be: 0.000 0.000 0.000
Be: 0.000 0.000 0.500
Be: 0.333 0.667 0.250
Be: 0.667 0.333 0.750
Br: 0.667 0.333 0.250
Br: 0.333 0.667 0.750

Values from the calculation:
N(E_F) (states/eV per atom): 0.60

=====

R) Be2Br after structural relaxation. Source: Alexandria, functional PBE.

Lattice parameters (Å, degrees): 3.254 3.254 4.980 90.00 90.00 120.00
Positions (direct):
Be: 0.333 0.667 0.638
Be: 0.667 0.333 0.362
Br: 0.000 0.000 0.000

Values from the calculation:
N(E_F) (states/eV per atom): 0.33

=====

S) Be2Br after structural relaxation. Source: Alexandria, functional PBE.

Lattice parameters (Å, degrees): 6.912 6.912 5.630 52.23 52.23 30.50
Positions (direct):
Be: 0.623 0.623 0.488
Be: 0.245 0.245 0.419
Be: 0.377 0.377 0.512
Be: 0.755 0.755 0.581
Br: 0.402 0.402 0.870
Br: 0.598 0.598 0.130

Values from the calculation:
N(E_F) (states/eV per atom): 0.12

=====

The energy of each structure relative to the most stable one, in meV per atom, is as follows: P) 494; Q) 899; R) 443; S) 0.

=====

P) BeBr4 after structural relaxation. Source: Alexandria, functional PBE.

Lattice parameters (Å, degrees): 5.534 5.534 5.534 109.47 109.47 109.47
Positions (direct):
Be: 0.000 0.000 0.000
Br: 0.500 0.000 0.000
Br: 0.500 0.500 0.500
Br: 0.000 0.500 0.000
Br: 0.000 0.000 0.500

Values from the calculation:
N(E_F) (states/eV per atom): 1.22

=====

Q) BeBr4 after structural relaxation. Source: Alexandria, functional PBE.

Lattice parameters (Å, degrees): 4.917 4.917 4.917 90.00 90.00 90.00
Positions (direct):
Be: 0.500 0.500 0.500
Br: 0.000 0.000 0.000
Br: 0.500 0.000 0.500
Br: 0.000 0.500 0.500
Br: 0.500 0.500 0.000

Values from the calculation:
N(E_F) (states/eV per atom): 1.07

=====

The energy of each structure relative to the most stable one, in meV per atom, is as follows: P) 270; Q) 0.

=====

P) Be5Br3 after structural relaxation. Source: Alexandria, functional PBE.

Lattice parameters (Å, degrees): 4.926 4.926 6.090 90.00 90.00 98.38
Positions (direct):
Be: 0.000 0.000 0.000
Be: 0.500 0.000 0.000
Be: 0.000 0.500 0.000
Be: 0.806 0.194 0.500
Be: 0.194 0.806 0.500
Br: 0.500 0.500 0.000
Br: 0.746 0.746 0.500
Br: 0.254 0.254 0.500

Values from the calculation:
N(E_F) (states/eV per atom): 0.74

=====

Q) Be5Br3 after structural relaxation. Source: Alexandria, functional PBE.

Lattice parameters (Å, degrees): 8.452 9.352 7.211 104.29 98.14 133.27
Positions (direct):
Be: 0.381 0.848 0.500
Be: 0.678 0.141 0.500
Be: 0.748 0.019 0.673
Be: 0.328 0.867 0.238
Be: 0.034 0.537 0.317
Be: 0.038 0.336 0.669
Be: 0.590 0.129 0.762
Be: 0.575 0.846 0.327
Be: 0.869 0.167 0.331
Be: 0.217 0.720 0.683
Br: 0.648 0.845 0.046
Br: 0.101 0.298 0.954
Br: 0.227 0.322 0.500
Br: 0.738 0.779 0.500
Br: 0.130 0.792 0.939
Br: 0.691 0.353 0.061

=====

The energy of each structure relative to the most stable one, in meV per atom, is as follows: P) 820; Q) 0.

=====

P) BeC2Br after structural relaxation. Source: Alexandria, functional PBE.

Lattice parameters (Å, degrees): 3.970 3.970 3.970 60.00 60.00 60.00
Positions (direct):
Be: 0.000 0.000 0.000
C: 0.250 0.250 0.250
C: 0.750 0.750 0.750
Br: 0.500 0.500 0.500

Values from the calculation:
N(E_F) (states/eV per atom): 0.64

=====

Q) BeC2Br after structural relaxation. Source: Alexandria, functional PBE.

Lattice parameters (Å, degrees): 4.633 4.633 5.679 65.93 65.93 90.00
Positions (direct):
Be: 0.500 0.500 0.000
Be: 0.250 0.750 0.500
C: 0.526 0.125 0.250
C: 0.224 0.625 0.250
C: 0.375 0.474 0.750
C: 0.875 0.776 0.750
Br: 0.000 0.000 0.000
Br: 0.750 0.250 0.500

Values from the calculation:
N(E_F) (states/eV per atom): 0.55

=====

The energy of each structure relative to the most stable one, in meV per atom, is as follows: P) 1156; Q) 0.

=====

P) BePdCBr after structural relaxation. Source: Alexandria, functional PBE.

Lattice parameters (Å, degrees): 3.453 3.573 11.449 90.00 97.43 90.00
Positions (direct):
Be: 0.320 0.000 0.964
Be: 0.320 0.500 0.464
C: 0.817 0.000 0.919
C: 0.817 0.500 0.419
Br: 0.248 0.000 0.152
Br: 0.248 0.500 0.652
Pd: 0.641 0.000 0.360
Pd: 0.641 0.500 0.860

Values from the calculation:
N(E_F) (states/eV per atom): 0.19

=====

Q) BePdCBr after structural relaxation. Source: Alexandria, functional PBE.

Lattice parameters (Å, degrees): 3.451 3.560 6.212 106.74 104.01 89.12
Positions (direct):
Be: 0.879 0.374 0.411
C: 0.398 0.420 0.494
Br: 0.530 0.172 0.053
Pd: 0.584 0.983 0.625

Values from the calculation:
N(E_F) (states/eV per atom): 0.12

=====

The energy of each structure relative to the most stable one, in meV per atom, is as follows: P) 13; Q) 0.